(1)
Np4SiGe after structural relaxation. Source: Alexandria, functional PBE-GGA.

The structure belongs to space group C2/m (No. 12); the cell edges are 9.162, 4.614 and 5.312 Å and the angles 90.00°, 95.22° and 90.00°. The asymmetric unit holds Np at (0.190, 0.000, 0.042), Np at (0.191, 0.500, 0.541), Si at (0.000, 0.000, 0.500) and Ge at (0.000, 0.500, 0.000).

As for the formation energy from raw total energies: -224.3 meV/atom. For the total energy, the calculation gives -10.525 eV per atom.

=====

(2)
GdYPt after structural relaxation. Source: Alexandria, functional PBE-GGA.

The structure belongs to space group P3m1 (No. 156); the cell edges are 4.6498, 4.6498 and 4.2090 Å and the angles 90.00°, 90.00° and 120.00°. The asymmetric unit holds Gd at (0.0000, 0.0000, 0.0000), Y at (0.6667, 0.3333, 0.4786) and Pt at (0.3333, 0.6667, 0.7258).

For the offset from the most stable computed form, the calculation gives 0.1796 eV per atom. For the total energy, the calculation gives -9.512 eV per atom. The value obtained for the formation enthalpy at 0 K is -0.650 eV per atom.

=====

(3)
RbSrGe2 after structural relaxation. Source: Alexandria, functional PBE-GGA.

The structure belongs to space group I-42d (No. 122); the cell edges are 9.144, 9.144 and 6.248 Å and the angles 90.00°, 90.00° and 90.00°. The asymmetric unit holds Rb at (0.000, 0.000, 0.000), Sr at (0.000, 0.000, 0.500) and Ge at (0.232, 0.250, 0.625).

For the offset from the most stable computed form, the calculation gives 0.2399 eV per atom. For the total energy, the calculation gives -2.660 eV per atom. The value obtained for the formation enthalpy at 0 K is 0.311 eV per atom.

=====

(4)
YMg2Ga after structural relaxation. Source: Alexandria, functional PBE-GGA.

The structure belongs to space group P4/mmm (No. 123); the cell edges are 4.352, 4.352 and 4.759 Å and the angles 90.00°, 90.00° and 90.00°. The asymmetric unit holds Y at (0.000, 0.000, 0.000), Mg at (0.000, 0.500, 0.500) and Ga at (0.500, 0.500, 0.000).

For the total energy, the calculation gives -3.480 eV per atom. The value obtained for the formation enthalpy at 0 K is -0.310 eV per atom.